The following is a PBE+U calculation of an optimized crystal structure of CaFeClO2, from the Alexandria database.

The structure belongs to space group C2/m (No. 12); the cell edges are 10.200, 3.858 and 8.857 Å and the angles 90.00°, 104.28° and 90.00°. The inequivalent atoms are Ca at (0.109, 0.000, 0.293), Fe at (0.139, 0.500, 0.002), Cl at (0.165, 0.000, 0.622), O at (0.024, 0.500, 0.161) and O at (0.187, 0.000, 0.061).

The total moment is 5.000 μB per formula unit. As for the energy above the most stable polymorph in this dataset: 0.00 kJ per mole of atoms. The value obtained for the calculated density is 3.2 g cm⁻³.